(1)
This record from Alexandria via LeMat-Bulk describes a relaxed structure of Tb2TlTeO8. The functional is GGA-PBE.

Cell: 4.978 7.122 4.981 Å, 90.00 92.47 90.00°
Sites, in units of the cell vectors:
Tb 0.000 0.249 0.000
Tb 0.000 0.751 0.000
Tl 0.500 0.500 0.500
Te 0.500 0.000 0.500
O 0.198 0.500 0.199
O 0.218 0.000 0.219
O 0.315 0.200 0.687
O 0.315 0.800 0.687
O 0.685 0.200 0.313
O 0.685 0.800 0.313
O 0.782 0.000 0.781
O 0.802 0.500 0.801

Properties
The formation energy from raw total energies is -1904 meV per atom.

***

(2)
This record from Alexandria via LeMat-Bulk describes a relaxed structure of La2Tb6Y5. The functional is GGA-PBE.

Cell: 11.762 20.457 3.621 Å, 90.00 90.00 90.00°
Sites, in units of the cell vectors:
La 0.171 0.221 0.000
La 0.329 0.721 0.000
La 0.671 0.279 0.000
La 0.829 0.779 0.000
Tb 0.063 0.926 0.000
Tb 0.075 0.639 0.000
Tb 0.180 0.377 0.500
Tb 0.320 0.877 0.500
Tb 0.425 0.139 0.000
Tb 0.437 0.426 0.000
Tb 0.563 0.574 0.000
Tb 0.575 0.861 0.000
Tb 0.680 0.123 0.500
Tb 0.820 0.623 0.500
Tb 0.925 0.361 0.000
Tb 0.937 0.074 0.000
Y 0.000 0.500 0.500
Y 0.091 0.783 0.500
Y 0.199 0.057 0.500
Y 0.301 0.557 0.500
Y 0.409 0.283 0.500
Y 0.500 0.000 0.500
Y 0.591 0.717 0.500
Y 0.699 0.443 0.500
Y 0.801 0.943 0.500
Y 0.909 0.217 0.500

Properties
For the uncorrected energy, the calculation gives -0.3881 Ry/atom.

***

(3)
This record from Alexandria via LeMat-Bulk describes a relaxed structure of CaNpAg2Cl8. The functional is GGA-PBE.

Cell: 6.472 6.637 8.259 Å, 92.41 92.94 95.13°
Sites, in units of the cell vectors:
Ca 0.000 0.000 0.000
Np 0.000 0.000 0.500
Ag 0.469 0.481 0.767
Ag 0.531 0.519 0.233
Cl 0.199 0.832 0.267
Cl 0.207 0.840 0.738
Cl 0.278 0.313 0.509
Cl 0.280 0.323 0.021
Cl 0.720 0.677 0.979
Cl 0.722 0.687 0.491
Cl 0.793 0.160 0.262
Cl 0.801 0.168 0.733

Properties
The formation energy from raw total energies is -1408 meV per atom.

***

(4)
This record from Alexandria via LeMat-Bulk describes a relaxed structure of TbTm2ScTe6. The functional is GGA-PBE.

Cell: 8.173 8.173 8.173 Å, 55.05 55.05 55.05°
Sites, in units of the cell vectors:
Tb 0.000 0.000 0.000
Tm 0.315 0.315 0.315
Tm 0.816 0.816 0.816
Sc 0.498 0.498 0.498
Te 0.100 0.719 0.411
Te 0.235 0.589 0.896
Te 0.411 0.100 0.719
Te 0.589 0.896 0.235
Te 0.719 0.411 0.100
Te 0.896 0.235 0.589

Properties
The formation energy from raw total energies is -1299 meV per atom.

***

(5)
This record from Alexandria via LeMat-Bulk describes a relaxed structure of FeCo2Tc. The functional is GGA-PBE.

Cell: 2.592 2.592 7.071 Å, 90.00 90.00 90.00°
Sites, in units of the cell vectors:
Fe 0.000 0.000 0.000
Co 0.500 0.500 0.241
Co 0.500 0.500 0.759
Tc 0.000 0.000 0.500

Properties
Its excess energy over the best structure of this formula in the dataset is 0.00 eV per formula unit.

***

(6)
This record from Alexandria via LeMat-Bulk describes a relaxed structure of CsAuN2O. The functional is GGA-PBE.

Cell: 4.869 4.869 4.423 Å, 90.00 90.00 90.00°
Sites, in units of the cell vectors:
Cs 0.000 0.000 0.000
Au 0.500 0.500 0.500
N 0.000 0.500 0.000
N 0.500 0.000 0.000
O 0.000 0.000 0.500

Properties
The formation energy from raw total energies is 2558 meV per atom.

***

(7)
This record from Alexandria via LeMat-Bulk describes a relaxed structure of YBeCr2N. The functional is GGA-PBE.

Cell: 4.509 4.509 3.290 Å, 90.00 90.00 90.00°
Sites, in units of the cell vectors:
Y 0.000 0.000 0.000
Be 0.500 0.500 0.500
Cr 0.000 0.500 0.500
Cr 0.500 0.000 0.500
N 0.500 0.500 0.000

Properties
The formation energy from raw total energies is 1032 meV per atom.